# 1
VASP calculation (PBE) on TaZnCl2 after structural relaxation.

abc: 4.6548 3.0536 6.7642
angles: 77.37 90.00 90.00
Fractional positions:
Cl: 0.5000 0.4132 0.2962
Cl: 0.0000 0.9911 0.1350
Ta: 0.0000 0.3462 0.4341
Zn: 0.5000 0.7495 0.6346

Symmetry ... No. 6
Density of states at the Fermi level ... 0.459 states/eV/atom
Final energy ... -17.509 eV per cell

***

# 2
VASP calculation (PBE) on TaZn2Cl after structural relaxation.

abc: 2.9836 2.9836 8.1047
angles: 90.00 90.00 105.58
Fractional positions:
Zn: 0.0000 0.0000 0.5009
Zn: 0.0000 0.0000 0.9991
Ta: 0.5000 0.5000 0.7500
Cl: 0.5000 0.5000 0.2500

Symmetry ... No. 65
Density of states at the Fermi level ... 0.357 states/eV/atom
Final energy ... -16.148 eV per cell

***

no.,distance to the lowest polymorph of the same formula (eV per atom),E_form (uncorrected) (eV/atom),calculated volume (Å³ per cell)
1,0.268,-0.1724,94
2,0.165,0.0248,69